# 1
Computed, not measured: crystalline MgCo2Hg at its relaxed geometry at the GGA-PBE level of DFT.

V: 15.547 Å³/atom
Formation energy: 0.13 eV/atom

abc: 3.003 3.003 6.897
angles: 90.00 90.00 90.00
Last column: magnetic moment on the atom in μB.
Atoms (fractional coordinates):
Co: 0.000 0.000 0.038  1.61
Co: 0.500 0.500 0.199  1.71
Hg: 0.000 0.000 0.472  -0.01
Mg: 0.500 0.500 0.791  -0.01

# 2
Computed, not measured: crystalline MgCo2Hg at its relaxed geometry at the GGA-PBE level of DFT.

V: 15.705 Å³/atom
Formation energy: 0.44 eV/atom

abc: 8.970 8.970 8.970
angles: 18.40 18.40 18.40
Last column: magnetic moment on the atom in μB.
Atoms (fractional coordinates):
Co: 0.002 0.002 0.002  1.62
Co: 0.498 0.498 0.498  1.62
Hg: 0.250 0.250 0.250  -0.02
Mg: 0.750 0.750 0.750  -0.01

# 3
Computed, not measured: crystalline MgCo2Hg at its relaxed geometry at the GGA-PBE level of DFT.

V: 15.573 Å³/atom
Formation energy: 0.24 eV/atom

abc: 4.047 2.929 5.458
angles: 74.36 90.00 90.00
Last column: magnetic moment on the atom in μB.
Atoms (fractional coordinates):
Co: 0.000 0.180 0.016  1.48
Co: 0.500 0.077 0.219  1.54
Hg: 0.000 0.450 0.476  -0.03
Mg: 0.500 0.793 0.789  -0.01

- Which value of V does entry 3 give?
  15.573 Å³/atom

Copy entry 2 word for word.
Computed, not measured: crystalline MgCo2Hg at its relaxed geometry at the GGA-PBE level of DFT.

V: 15.705 Å³/atom
Formation energy: 0.44 eV/atom

abc: 8.970 8.970 8.970
angles: 18.40 18.40 18.40
Last column: magnetic moment on the atom in μB.
Atoms (fractional coordinates):
Co: 0.002 0.002 0.002  1.62
Co: 0.498 0.498 0.498  1.62
Hg: 0.250 0.250 0.250  -0.02
Mg: 0.750 0.750 0.750  -0.01

Please write out number 3 again, unchanged.
Computed, not measured: crystalline MgCo2Hg at its relaxed geometry at the GGA-PBE level of DFT.

V: 15.573 Å³/atom
Formation energy: 0.24 eV/atom

abc: 4.047 2.929 5.458
angles: 74.36 90.00 90.00
Last column: magnetic moment on the atom in μB.
Atoms (fractional coordinates):
Co: 0.000 0.180 0.016  1.48
Co: 0.500 0.077 0.219  1.54
Hg: 0.000 0.450 0.476  -0.03
Mg: 0.500 0.793 0.789  -0.01

Copy entry 2 word for word.
Computed, not measured: crystalline MgCo2Hg at its relaxed geometry at the GGA-PBE level of DFT.

V: 15.705 Å³/atom
Formation energy: 0.44 eV/atom

abc: 8.970 8.970 8.970
angles: 18.40 18.40 18.40
Last column: magnetic moment on the atom in μB.
Atoms (fractional coordinates):
Co: 0.002 0.002 0.002  1.62
Co: 0.498 0.498 0.498  1.62
Hg: 0.250 0.250 0.250  -0.02
Mg: 0.750 0.750 0.750  -0.01